(1)
An optimized crystal structure of PrTi2Tl2O7, computed with PBE.

Cell: 5.5273 5.4712 11.1557 Å, 90.00 98.98 90.00°
Last column: nearest neighbours and their distance in Å.
Space group C2/m (No. 12)
Unique sites:
Pr (0.0000, 0.0000, 0.0000) x2  12 O 2.64-2.76
Ti (0.0716, 0.5000, 0.1850) x4  6 O 1.90-2.04
Tl (0.1746, 0.0000, 0.3890) x4  1 O 2.45
O (0.0000, 0.5000, 0.0000) x2  2 Ti 2.04
O (0.1046, 0.5000, 0.3600) x4  1 Ti 1.93
O (0.2020, 0.2522, 0.8360) x8  2 Ti 1.90-2.02

Values from the calculation:
Uncorrected energy, eV per atom: -7.38


(2)
An optimized crystal structure of KBi, computed with PBE.

Cell: 7.3304 7.3304 7.3304 Å, 90.00 90.00 90.00°
Last column: nearest neighbours and their distance in Å.
Space group Fm-3m (No. 225)
Unique sites:
K (0.0000, 0.0000, 0.0000) x4  6 Bi 3.67
Bi (0.0000, 0.0000, 0.5000) x4  6 K 3.67

Values from the calculation:
ΔH_f (0 K), meV per atom: 284.1


(3)
An optimized crystal structure of LaSn, computed with PBE.

Cell: 11.4395 11.4395 4.3737 Å, 90.00 90.00 90.00°
Last column: nearest neighbours and their distance in Å.
Space group I4/mmm (No. 139)
Unique sites:
La (0.0000, 0.2995, 0.0000) x8  6 Sn 3.32-3.59
Sn (0.1868, 0.1868, 0.5000) x8  2 Sn 2.99, 4 La 3.32

Values from the calculation:
ΔH_f (0 K), meV per atom: -552.6


(4)
An optimized crystal structure of LaPr3, computed with PBE.

Cell: 8.3702 8.3702 8.3702 Å, 90.00 90.00 90.00°
Last column: nearest neighbours and their distance in Å.
Space group Fm-3m (No. 225)
Unique sites:
La (0.0000, 0.0000, 0.0000) x4  8 Pr 3.62
Pr (0.0000, 0.0000, 0.5000) x4  8 Pr 3.62
Pr (0.2500, 0.2500, 0.2500) x8  4 Pr 3.62, 4 La 3.62

Values from the calculation:
ΔH_f (0 K), meV per atom: 124.3


Number 1: magnetization 0.0 μB/f.u.. Number 2: magnetization 1.8 μB/f.u.. Number 3: magnetization 0.2 μB/f.u.. Number 4: magnetization 0.7 μB/f.u..